Entry 1:
LiTbAlPd GGA-PBE optimized geometry; space group = F-43m (216); Fermi-level density of states = 1.6313 states/eV per atom; ΔH_f (0 K) = -0.570 eV/atom; E above lowest polymorph = 0 meV/atom
1.0
-0.1802 -1.7476 -4.3612
-1.1725 -4.5018 -0.6820
-4.1488 -1.0824 -1.9293
Al Li Pd Tb
1 1 1 1
Direct
0.2500 0.2500 0.2500
0.0000 0.0000 0.0000
0.5000 0.5000 0.5000
0.7500 0.7500 0.7500


Entry 2:
Li2AlSnW GGA-PBE optimized geometry; space group = P4/mmm (123); Fermi-level density of states = 0.6430 states/eV per atom; ΔH_f (0 K) = 0.974 eV/atom
1.0
4.5429 0.0000 0.0000
0.0000 5.1797 0.0000
0.0000 0.0000 4.5429
Al Sn Li W
1 1 2 1
Direct
0.5000 0.5000 0.5000
0.0000 0.0000 0.0000
0.5000 0.0000 0.0000
0.0000 0.0000 0.5000
0.0000 0.5000 0.0000


> Look up the Fermi-level density of states of the first one.

1.6313 states/eV per atom


> The highest ΔH_f (0 K) belongs to which entry?

Li2AlSnW


> Which of these has the highest ΔH_f (0 K)?

Li2AlSnW


> Look up the Fermi-level density of states of the first one.

1.6313 states/eV per atom